No. 1
Compound: Gd2GaSn
Source: Alexandria via LeMat-Bulk
Functional: PBE
Structure: optimized geometry

Unit cell a=3.5570 b=3.5570 c=10.8989 alpha=80.61 beta=80.61 gamma=60.00
Each line ends with the local moment (μB).
Fractional positions:
Gd  0.0982  0.0982  0.7055  7.07
Gd  0.9018  0.9018  0.2945  7.07
Sn  0.0000  0.0000  0.0000  0.00
Ga  0.5000  0.5000  0.5000  -0.06

Output
space-group type: No. 166


No. 2
Compound: LaSmNi2
Source: Alexandria via LeMat-Bulk
Functional: PBE
Structure: optimized geometry

Unit cell a=3.8229 b=4.3695 c=5.6115 alpha=90.00 beta=109.81 gamma=90.00
Fractional positions:
La  0.4451  0.5000  0.4297
Sm  0.7182  0.0000  0.9751
Ni  0.1572  0.5000  0.8537
Ni  0.0105  0.0000  0.5595

Output
space-group type: No. 6
energy above the lowest structure with this stoichiometry: 0.000 eV per atom


In eV per cell, the DFT total energy values for the records above are, in order, -35.81, -22.60.
In states/eV per cell, the D(E_F) values for the records above are, in order, 3.83, 2.52.
In eV per atom, the calculated formation energy values for the records above are, in order, -0.15, -0.35.